No. 1
LuCdAg | GGA-PBE | optimized geometry

a = 4.8635 Å, b = 4.8635 Å, c = 3.2478 Å
α = 90.00°, β = 90.00°, γ = 120.00°
Element x y z (fractional)
1 Lu 0.0000 0.0000 0.0000
2 Cd 0.3333 0.6667 0.5000
3 Ag 0.6667 0.3333 0.5000

The symmetry is P-6m2 (187). The density of states at the Fermi level comes out at 1.518 states/eV per cell. The value obtained for the formation energy is -0.25 eV per atom.

No. 2
Zn2BPt | GGA-PBE | optimized geometry

a = 6.2590 Å, b = 6.2590 Å, c = 6.2590 Å
α = 96.32°, β = 96.32°, γ = 141.26°
Element x y z (fractional)
1 Zn 0.3750 0.1257 0.2507
2 Zn 0.8743 0.1250 0.2493
3 Zn 0.8750 0.1243 0.7493
4 Zn 0.8757 0.6250 0.7507
5 B 0.0000 0.0000 0.0000
6 B 0.7500 0.2500 0.5000
7 Pt 0.2500 0.7500 0.5000
8 Pt 0.5000 0.5000 0.0000

The symmetry is I-42d (122). The density of states at the Fermi level comes out at 2.386 states/eV per cell. The value obtained for the formation energy is 0.11 eV per atom.